# 1
Entry from Alexandria: a geometry-optimized ScCr2Fe structure (GGA-PBE).

Values from the calculation:
final energy = -33.26 eV/cell
DOS(E_F) = 3.1 states/eV/cell

Lattice parameters (Å, degrees): 5.053 5.053 5.053 146.27 132.06 59.90
Positions (direct):
Sc: 0.000 0.000 0.000
Cr: 0.262 0.762 0.500
Cr: 0.738 0.238 0.500
Fe: 0.500 0.500 0.000

# 2
Entry from Alexandria: a geometry-optimized NaInTcO5 structure (GGA-PBE).

Values from the calculation:
final energy = -101.63 eV/cell
DOS(E_F) = 6.2 states/eV/cell
formation energy without anion corrections = -1.450 eV/atom

Lattice parameters (Å, degrees): 6.059 6.059 7.420 101.80 101.80 107.91
Positions (direct):
Na: 0.186 0.814 0.750
Na: 0.814 0.186 0.250
In: 0.500 0.500 0.000
In: 0.500 0.500 0.500
Tc: 0.174 0.826 0.250
Tc: 0.826 0.174 0.750
O: 0.100 0.233 0.929
O: 0.170 0.595 0.369
O: 0.233 0.100 0.429
O: 0.405 0.830 0.131
O: 0.417 0.583 0.750
O: 0.583 0.417 0.250
O: 0.595 0.170 0.869
O: 0.767 0.900 0.571
O: 0.830 0.405 0.631
O: 0.900 0.767 0.071

# 3
Entry from Alexandria: a geometry-optimized ScTi5Ga3 structure (GGA-PBE).

Values from the calculation:
final energy = -116.54 eV/cell
DOS(E_F) = 25.2 states/eV/cell

Lattice parameters (Å, degrees): 7.916 7.916 5.574 90.00 90.00 120.00
Positions (direct):
Sc: 0.000 0.000 0.000
Sc: 0.000 0.000 0.500
Ti: 0.000 0.343 0.250
Ti: 0.000 0.657 0.750
Ti: 0.333 0.667 0.000
Ti: 0.333 0.667 0.500
Ti: 0.343 0.000 0.250
Ti: 0.343 0.343 0.750
Ti: 0.657 0.000 0.750
Ti: 0.657 0.657 0.250
Ti: 0.667 0.333 0.000
Ti: 0.667 0.333 0.500
Ga: 0.000 0.331 0.750
Ga: 0.000 0.669 0.250
Ga: 0.331 0.000 0.750
Ga: 0.331 0.331 0.250
Ga: 0.669 0.000 0.250
Ga: 0.669 0.669 0.750

# 4
Entry from Alexandria: a geometry-optimized RbMgCdBi2 structure (GGA-PBE).

Values from the calculation:
final energy = -12.62 eV/cell
DOS(E_F) = 2.6 states/eV/cell

Lattice parameters (Å, degrees): 8.030 8.030 8.030 144.80 144.80 50.64
Positions (direct):
Rb: 0.000 0.000 0.000
Mg: 0.250 0.750 0.500
Cd: 0.750 0.250 0.500
Bi: 0.375 0.375 0.000
Bi: 0.625 0.625 0.000

# 5
Entry from Alexandria: a geometry-optimized CrIr2Se structure (GGA-PBE).

Values from the calculation:
final energy = -30.09 eV/cell
DOS(E_F) = 3.0 states/eV/cell
formation energy without anion corrections = 0.184 eV/atom

Lattice parameters (Å, degrees): 4.809 4.809 4.595 96.25 96.25 34.94
Positions (direct):
Cr: 0.000 0.000 0.000
Ir: 0.271 0.271 0.769
Ir: 0.729 0.729 0.231
Se: 0.500 0.500 0.500

# 6
Entry from Alexandria: a geometry-optimized Ba4AgI2N structure (GGA-PBE).

Values from the calculation:
final energy = -28.53 eV/cell
DOS(E_F) = 5.1 states/eV/cell
formation energy without anion corrections = -0.820 eV/atom

Lattice parameters (Å, degrees): 8.123 4.552 8.823 90.00 106.99 90.00
Positions (direct):
Ba: 0.208 0.000 0.188
Ba: 0.210 0.500 0.811
Ba: 0.790 0.500 0.189
Ba: 0.792 0.000 0.812
Ag: 0.500 0.000 0.000
I: 0.000 0.000 0.500
I: 0.500 0.500 0.500
N: 0.000 0.500 0.000

# 7
Entry from Alexandria: a geometry-optimized Tb7Tm2Al2 structure (GGA-PBE).

Values from the calculation:
final energy = -46.83 eV/cell
DOS(E_F) = 14.8 states/eV/cell

Lattice parameters (Å, degrees): 6.614 6.614 9.010 90.00 90.00 119.70
Positions (direct):
Tb: 0.000 0.000 0.000
Tb: 0.000 0.500 0.288
Tb: 0.000 0.500 0.712
Tb: 0.500 0.000 0.288
Tb: 0.500 0.000 0.712
Tb: 0.500 0.500 0.180
Tb: 0.500 0.500 0.820
Tm: 0.244 0.244 0.500
Tm: 0.756 0.756 0.500
Al: 0.269 0.731 0.000
Al: 0.731 0.269 0.000

# 8
Entry from Alexandria: a geometry-optimized MgMo2W structure (GGA-PBE).

Values from the calculation:
final energy = -35.24 eV/cell
DOS(E_F) = 1.9 states/eV/cell

Lattice parameters (Å, degrees): 2.706 4.504 5.442 90.00 99.96 90.00
Positions (direct):
Mg: 0.000 0.000 0.000
Mo: 0.259 0.500 0.743
Mo: 0.741 0.500 0.257
W: 0.500 0.000 0.500

Mass density per entry: 6.5 4.3 5.4 6.2 14.2 4.9 7.3 10.2 g/cm³